The following is a PBE calculation of a relaxed Tm4ScHg5 crystal, from Alexandria.

Results
Calculated formation energy in eV per formula unit: -4.7
Mass density in g/cm3: 11.82
Uncorrected energy in eV per cell: -30.4
SG: P4/mmm, No. 123
Total magnetization in Bohr magnetons per cell: 0.0

Unit cell a=3.6427 b=3.6427 c=18.2473 alpha=90.00 beta=90.00 gamma=90.00
Closest atoms and distances in Å follow each position.
Fractional coordinates of all 10 atoms:
Tm 0.0000 0.0000 0.1018  8 Hg 3.17-3.18
Tm 0.0000 0.0000 0.3049  8 Hg 3.17-3.19
Tm 0.0000 0.0000 0.6951  8 Hg 3.17-3.19
Tm 0.0000 0.0000 0.8982  8 Hg 3.17-3.18
Sc 0.0000 0.0000 0.5000  8 Hg 3.08
Hg 0.5000 0.5000 0.0000  8 Tm 3.18
Hg 0.5000 0.5000 0.2034  8 Tm 3.17
Hg 0.5000 0.5000 0.4076  4 Sc 3.08, 4 Tm 3.19, 1 Hg 3.37
Hg 0.5000 0.5000 0.5924  4 Sc 3.08, 4 Tm 3.19, 1 Hg 3.37
Hg 0.5000 0.5000 0.7966  8 Tm 3.17